[1]
Material: Rb2SrOF6
Method: DFT, PBE
State: relaxed

```
Rb2SrOF6
1.0
-0.426 4.920 3.155
-5.068 1.265 -2.656
-5.552 0.277 4.261
F Sr O Rb
6 1 1 2
Direct
0.713 0.287 0.000
0.287 0.287 0.000
0.792 0.792 0.416
0.287 0.713 0.000
0.208 0.208 0.584
0.713 0.713 0.000
0.000 0.000 0.000
0.500 0.500 0.000
0.750 0.250 0.500
0.250 0.750 0.500
```

Calculated values
E: -4.081 eV/atom
SG: No. 139
Uncorrected formation energy: -2.101 eV/atom
Total moment: 0.00 μB/f.u.



[2]
Material: RbSrOF2
Method: DFT, PBE
State: relaxed

```
RbSrOF2
1.0
4.866 0.000 0.000
0.000 4.866 0.000
0.000 0.000 4.460
O Sr Rb F
1 1 1 2
Direct
0.000 0.000 0.500
0.500 0.500 0.500
0.000 0.000 0.000
0.000 0.500 0.000
0.500 0.000 0.000
```

Calculated values
Polymorph energy (0 for the lowest one): 727 meV per atom
E: -4.073 eV/atom
SG: No. 123
Uncorrected formation energy: -1.803 eV/atom
Total moment: 0.00 μB/f.u.



[3]
Material: Rb2Ta3O8F
Method: DFT, PBE
State: relaxed

```
Rb2Ta3O8F
1.0
6.167 0.000 0.000
3.083 5.340 0.000
3.083 1.780 8.317
O Rb Ta F
8 2 3 1
Direct
0.712 0.712 0.865
0.330 0.776 0.118
0.676 0.225 0.874
0.291 0.291 0.128
0.776 0.776 0.118
0.225 0.676 0.874
0.225 0.225 0.874
0.776 0.330 0.118
0.526 0.526 0.422
0.124 0.124 0.629
0.502 0.502 0.996
0.000 0.502 0.996
0.502 0.000 0.996
0.829 0.829 0.513
```

Calculated values
E: -8.132 eV/atom
SG: No. 160
Uncorrected formation energy: -2.487 eV/atom
Total moment: 0.05 μB/f.u.